Record 1
This record from Alexandria via LeMat-Bulk describes a relaxed structure of Sr2PbS. The functional is GGA-PBE.

Calculated values
Its energy above the most stable polymorph in this dataset is 0 meV per atom. The density of states at the Fermi level comes out at 0.35 states/eV per cell. The mass density is 5.19 Mg/m³. The crystal system is trigonal.

The structure in POSCAR format:
```
Sr2PbS
1.0
-1.2337 3.7629 -1.4029
-3.3426 0.3074 -2.5262
-6.6732 2.2491 5.6104
S Sr Pb
1 2 1
direct
0.0000 0.0000 0.0000
0.2652 0.2652 0.2043
0.7348 0.7348 0.7957
0.5000 0.5000 0.5000
```



Record 2
This record from Alexandria via LeMat-Bulk describes a relaxed structure of SrPbS3. The functional is GGA-PBE.

Calculated values
Its energy above the most stable polymorph in this dataset is 0 meV per atom. The density of states at the Fermi level comes out at 4.11 states/eV per cell. The mass density is 4.65 Mg/m³. The crystal system is cubic.

The structure in POSCAR format:
```
SrPbS3
1.0
-2.3011 -3.1820 -3.3886
-1.0103 -3.3484 3.8302
-4.5373 2.3593 0.8657
S Sr Pb
3 1 1
direct
0.0000 0.0000 0.5000
0.0000 0.5000 0.0000
0.5000 0.0000 0.0000
0.5000 0.5000 0.5000
0.0000 0.0000 0.0000
```



Record 3
This record from Alexandria via LeMat-Bulk describes a relaxed structure of SrTa2PbS. The functional is GGA-PBE.

Calculated values
The density of states at the Fermi level comes out at 6.86 states/eV per cell. The mass density is 7.73 Mg/m³. The crystal system is tetragonal.

The structure in POSCAR format:
```
SrTa2PbS
1.0
-1.5346 -3.1531 -3.6209
4.4666 1.6632 -3.3414
2.8446 -3.6594 1.9810
Pb Sr Ta S
1 1 2 1
direct
0.0000 0.5000 0.0000
0.0000 0.0000 0.0000
0.0000 0.0000 0.5000
0.5000 0.0000 0.0000
0.5000 0.5000 0.5000
```



Record 4
This record from Alexandria via LeMat-Bulk describes a relaxed structure of SrTi2PbS. The functional is GGA-PBE.

Calculated values
The density of states at the Fermi level comes out at 4.87 states/eV per cell. The mass density is 5.74 Mg/m³. The crystal system is tetragonal.

The structure in POSCAR format:
```
SrTi2PbS
1.0
4.7072 0.0000 0.0000
0.0000 5.5218 0.0000
0.0000 0.0000 4.7072
Ti S Pb Sr
2 1 1 1
direct
0.5000 0.0000 0.0000
0.0000 0.0000 0.5000
0.0000 0.0000 0.0000
0.5000 0.5000 0.5000
0.0000 0.5000 0.0000
```



Quick rundown of formation energy without anion corrections, same order as above: -1.253 -0.550 2.632 -0.358 eV/atom